The following is a DFT calculation (PBEsol) of a relaxed structure of Li2Zr7FeP12O48.

```
Li2Zr7FeP12O48
1.0
-3.0223 -0.9602 8.2529
5.4070 -6.9631 1.1156
8.8605 7.6875 3.9752
Li Zr Fe P O
2 7 1 12 48
Cartesian
6.2457 -3.1957 4.6654
2.5245 -0.6929 2.8122
6.0794 0.2853 9.2607
5.7416 5.8291 9.7001
6.2775 -4.5577 8.7617
1.3911 -3.0523 7.2385
9.9136 2.8930 6.1404
5.4415 -6.0483 3.6258
4.8756 4.3120 4.5569
5.2093 -0.4222 4.0824
2.8001 1.1066 10.2963
-0.8215 -0.5337 8.1126
7.0925 2.9933 11.1642
8.6563 -1.9339 8.6054
4.7228 -2.0663 6.9394
11.2713 1.9269 9.2418
0.0084 -2.1046 4.1391
2.6299 1.5366 4.8267
6.6356 1.8424 6.1538
12.0347 0.3250 5.2349
4.2831 -3.0611 2.3039
8.1924 -1.4371 3.0217
5.5595 -1.0130 10.8005
5.1683 -3.4180 10.1286
9.5684 -0.8191 12.0824
1.7964 -3.8313 9.1384
4.1690 0.9946 9.6455
8.5369 3.4991 11.1799
-1.9338 -1.0823 7.2296
1.7317 1.4023 9.2448
6.1919 3.9794 10.4212
0.4068 -1.4567 8.0898
7.0055 1.6334 10.4601
-0.4716 0.8812 7.6283
4.5029 4.9228 8.3598
3.2103 -2.1141 7.1327
5.3841 -3.4412 7.1930
7.8526 -0.6854 8.9842
5.3066 -1.0082 7.8495
10.7758 0.6873 9.9710
7.7866 -3.1807 8.8275
2.2857 -4.5563 6.1955
2.0384 1.3838 6.2275
6.3306 1.4723 7.5952
7.4070 5.8198 8.4600
0.8545 -2.2896 5.3987
10.4493 2.1106 7.9632
3.9049 -5.8927 4.8981
5.0572 -1.7802 5.4268
9.0876 -1.8410 7.1322
8.9756 4.3625 7.1948
5.9633 0.7473 5.2091
3.5564 2.7269 4.7183
0.6055 -0.8890 3.3683
3.3824 0.2200 4.4004
6.0406 3.2108 5.8510
8.1420 1.8248 5.8971
1.4659 1.7731 3.8203
11.5144 -1.0314 5.7359
4.1878 -1.6455 2.9973
10.9128 1.3660 5.2227
5.2296 -3.9816 3.1190
13.1417 0.8387 6.1882
2.8558 -3.6062 2.3063
6.7471 -1.4599 3.6786
9.1102 -1.9036 4.1578
9.6179 3.8196 4.3580
1.7338 0.4944 1.3392
5.8406 3.1188 3.1408
5.4171 0.6343 2.6277
```

The following is a DFT calculation (PBEsol) of a relaxed structure of Li5Fe5Sb2O12.

```
Li5Fe5Sb2O12
1.0
-1.1550 -4.5583 -2.1363
0.4765 0.1360 5.1410
-9.0274 3.7544 -0.3979
Sb Fe O Li
2 5 12 5
Cartesian
-4.4464 0.8359 3.1170
-0.7491 -3.3904 -0.3258
0.2964 -0.3822 4.3377
-2.2552 -1.1422 3.9184
-6.6325 2.8286 2.3383
-0.1614 -1.6992 2.2960
-4.9957 -0.7447 0.6667
-3.7117 0.3466 -0.3806
-6.2968 -1.8848 1.6383
-7.8519 1.5075 3.4547
-1.0386 0.1708 2.7894
-3.7242 -0.8560 2.2541
-5.7167 0.9509 1.5353
-8.5438 0.1394 0.8723
-1.4536 -1.6460 0.4344
-4.3023 -2.4507 -0.0114
-6.1855 -0.4667 -0.8691
-7.8664 3.1846 0.6752
-1.5443 -3.0028 3.2490
-7.1034 -0.2524 2.5376
-2.9237 -2.5669 1.5155
-2.3634 0.2727 1.1362
-7.0256 1.1988 0.0060
-5.5190 -2.2503 -1.6674
```

no.,formation energy (no corrections) (eV per atom),D(E_F) (states/eV/f.u.)
1,-2.566,34.27
2,-1.374,7.35